This record from Alexandria describes crystalline Y2TlAu at its relaxed geometry. The functional is PBE.

The structure in POSCAR format:
```
Y2TlAu
1.0
1.9767 1.1412 8.4587
-1.9767 1.1412 8.4587
0.0000 -2.2825 8.4587
Y Tl Au
2 1 1
direct
0.0000 0.0000 0.0000
0.1880 0.1880 0.1880
0.4270 0.4270 0.4270
0.5937 0.5937 0.5937
```

## Properties
- space group = R3m
- crystal system = trigonal

=====

This record from Alexandria describes crystalline YTl2Au2 at its relaxed geometry. The functional is PBE.

The structure in POSCAR format:
```
YTl2Au2
1.0
7.5903 0.0000 0.0000
0.0000 7.5903 0.0000
0.0000 0.0000 4.4020
Y Tl Au
2 4 4
direct
0.0000 0.0000 0.0000
0.5000 0.5000 0.0000
0.1780 0.3220 0.5000
0.3220 0.8220 0.5000
0.6780 0.1780 0.5000
0.8220 0.6780 0.5000
0.1302 0.6302 0.0000
0.3698 0.1302 0.0000
0.6302 0.8698 0.0000
0.8698 0.3698 0.0000
```

## Properties
- space group = P4/mbm
- offset from the most stable computed form (meV/atom) = 0
- crystal system = tetragonal

=====

This record from Alexandria describes crystalline YTl2Au2 at its relaxed geometry. The functional is PBE.

The structure in POSCAR format:
```
YTl2Au2
1.0
-2.1484 2.1484 6.7825
2.1484 -2.1484 6.7825
2.1484 2.1484 -6.7825
Y Tl Au
1 2 2
direct
0.0000 0.0000 0.0000
0.2500 0.7500 0.5000
0.7500 0.2500 0.5000
0.4023 0.4023 0.0000
0.5977 0.5977 0.0000
```

## Properties
- space group = I4/mmm
- offset from the most stable computed form (meV/atom) = 27
- crystal system = tetragonal

=====

This record from Alexandria describes crystalline YTlAu3 at its relaxed geometry. The functional is PBE.

The structure in POSCAR format:
```
YTlAu3
1.0
5.5176 0.0000 0.0000
0.0000 5.5176 0.0000
0.0000 0.0000 5.5176
Y Tl Au
1 1 3
direct
0.0000 0.0000 0.0000
0.5000 0.5000 0.5000
0.0000 0.0000 0.5000
0.0000 0.5000 0.0000
0.5000 0.0000 0.0000
```

## Properties
- space group = Pm-3m
- offset from the most stable computed form (meV/atom) = 0
- crystal system = cubic

=====

This record from Alexandria describes crystalline Y4TlAu2 at its relaxed geometry. The functional is PBE.

The structure in POSCAR format:
```
Y4TlAu2
1.0
2.4388 1.4080 9.8266
-2.4388 1.4080 9.8266
0.0000 -2.8161 9.8266
Y Tl Au
4 1 2
direct
0.1179 0.1179 0.1179
0.2976 0.2976 0.2976
0.7024 0.7024 0.7024
0.8821 0.8821 0.8821
0.5000 0.5000 0.5000
0.3979 0.3979 0.3979
0.6021 0.6021 0.6021
```

## Properties
- space group = R-3m
- crystal system = trigonal

=====

This record from Alexandria describes crystalline Y5TlAu2 at its relaxed geometry. The functional is PBE.

The structure in POSCAR format:
```
Y5TlAu2
1.0
-4.0499 4.0499 6.6160
4.0499 -4.0499 6.6160
4.0499 4.0499 -6.6160
Y Tl Au
10 2 4
direct
0.0000 0.0000 0.0000
0.0138 0.5138 0.8139
0.1999 0.0138 0.5000
0.3001 0.8001 0.8139
0.4862 0.3001 0.5000
0.5000 0.5000 0.0000
0.5138 0.6999 0.5000
0.6999 0.1999 0.1861
0.8001 0.9862 0.5000
0.9862 0.4862 0.1861
0.2500 0.2500 0.0000
0.7500 0.7500 0.0000
0.1358 0.3642 0.5000
0.3642 0.8642 0.2284
0.6358 0.1358 0.7716
0.8642 0.6358 0.5000
```

## Properties
- space group = I4/mcm
- crystal system = tetragonal

=====

This record from Alexandria describes crystalline Y8TlAu2 at its relaxed geometry. The functional is PBE.

The structure in POSCAR format:
```
Y8TlAu2
1.0
4.4316 -6.9582 0.0000
4.4316 6.9582 0.0000
-1.6061 0.0000 5.2649
Y Tl Au
8 1 2
direct
0.0856 0.3288 0.5908
0.2358 0.7642 0.0000
0.3288 0.0856 0.5908
0.3939 0.3939 0.1957
0.6061 0.6061 0.8043
0.6712 0.9144 0.4092
0.7642 0.2358 0.0000
0.9144 0.6712 0.4092
0.0000 0.0000 0.0000
0.3052 0.6948 0.5000
0.6948 0.3052 0.5000
```

## Properties
- space group = C2/m
- crystal system = monoclinic

=====

This record from Alexandria describes crystalline Y2TlAu at its relaxed geometry. The functional is PBE.

The structure in POSCAR format:
```
Y2TlAu
1.0
-1.8371 2.4782 5.7409
1.8371 -2.4782 5.7409
1.8371 2.4782 -5.7409
Y Tl Au
2 1 1
direct
0.0000 0.0000 0.0000
0.7245 0.2245 0.5000
0.4311 0.4311 0.0000
0.2137 0.7137 0.5000
```

## Properties
- space group = Imm2
- crystal system = orthorhombic

=====

This record from Alexandria describes crystalline YTl2Au2 at its relaxed geometry. The functional is PBE.

The structure in POSCAR format:
```
YTl2Au2
1.0
-2.4307 2.4307 5.4171
2.4307 -2.4307 5.4171
2.4307 2.4307 -5.4171
Y Tl Au
1 2 2
direct
0.0000 0.0000 0.0000
0.3723 0.3723 0.0000
0.6277 0.6277 0.0000
0.2500 0.7500 0.5000
0.7500 0.2500 0.5000
```

## Properties
- space group = I4/mmm
- offset from the most stable computed form (meV/atom) = 209
- crystal system = tetragonal

=====

This record from Alexandria describes crystalline Y2TlAu at its relaxed geometry. The functional is PBE.

The structure in POSCAR format:
```
Y2TlAu
1.0
4.4975 -1.9434 0.0000
4.4975 1.9434 0.0000
-1.7440 0.0000 6.3870
Y Tl Au
2 1 1
direct
0.2400 0.2400 0.2292
0.7600 0.7600 0.7708
0.0000 0.0000 0.5000
0.5000 0.5000 0.0000
```

## Properties
- space group = C2/m
- crystal system = monoclinic

=====

This record from Alexandria describes crystalline Y4TlAu3 at its relaxed geometry. The functional is PBE.

The structure in POSCAR format:
```
Y4TlAu3
1.0
3.6397 0.0000 0.0000
0.0000 5.1864 0.0000
0.0000 0.0000 10.3683
Y Tl Au
4 1 3
direct
0.0000 0.0000 0.0000
0.0000 0.0000 0.5000
0.0000 0.5000 0.2378
0.0000 0.5000 0.7622
0.5000 0.5000 0.5000
0.5000 0.0000 0.2528
0.5000 0.0000 0.7472
0.5000 0.5000 0.0000
```

## Properties
- space group = Pmmm
- crystal system = orthorhombic

=====

This record from Alexandria describes crystalline YTlAu at its relaxed geometry. The functional is PBE.

The structure in POSCAR format:
```
YTlAu
1.0
14.3193 0.0000 0.0000
0.0000 3.7813 0.0000
0.0000 0.0000 8.0612
Y Tl Au
6 6 6
direct
0.0570 0.0000 0.2212
0.2500 0.0000 0.8174
0.4430 0.0000 0.2212
0.5570 0.0000 0.7788
0.7500 0.0000 0.1826
0.9430 0.0000 0.7788
0.1070 0.5000 0.5620
0.2500 0.5000 0.1548
0.3930 0.5000 0.5620
0.6070 0.5000 0.4380
0.7500 0.5000 0.8452
0.8930 0.5000 0.4380
0.0908 0.5000 0.9263
0.2500 0.0000 0.4316
0.4092 0.5000 0.9263
0.5908 0.5000 0.0737
0.7500 0.0000 0.5684
0.9092 0.5000 0.0737
```

## Properties
- space group = Pmma
- crystal system = orthorhombic

=====

Results for DFT formation energy: -0.46, -0.27, -0.24, 0.16, -0.43, -0.57, -0.30, -0.50, -0.06, -0.46, -0.72, -0.56 (in eV/atom, following the order of the records).
Results for DFT total energy: -5.102, -3.816, -3.789, -3.574, -5.403, -5.722, -5.814, -5.145, -3.607, -5.103, -5.481, -4.601 (in eV/atom, following the order of the records).